A geometry-optimized Ca2AgO structure. Source: Alexandria, functional PBE.

a = 3.5299 Å, b = 3.5299 Å, c = 22.8376 Å
α = 90.00°, β = 90.00°, γ = 120.00°
Last column: nearest neighbours and their distance in Å.
Atoms (fractional coordinates):
Ca 0.0000 0.0000 0.2278  3 O 2.47
Ca 0.0000 0.0000 0.7722  3 O 2.47
Ca 0.3333 0.6667 0.4388  3 O 2.47
Ca 0.3333 0.6667 0.8945  3 O 2.47
Ca 0.6667 0.3333 0.1055  3 O 2.47
Ca 0.6667 0.3333 0.5612  3 O 2.47
Ag 0.0000 0.0000 0.0000  6 Ca 3.16, 6 Ag 3.53
Ag 0.3333 0.6667 0.6667  6 Ca 3.16, 6 Ag 3.53
Ag 0.6667 0.3333 0.3333  6 Ca 3.16, 6 Ag 3.53
O 0.0000 0.0000 0.5000  6 Ca 2.47
O 0.3333 0.6667 0.1667  6 Ca 2.47
O 0.6667 0.3333 0.8333  6 Ca 2.47

Summary:
energy relative to the elements, uncorrected: -542 kJ/mol of formula units
volume: 246.4 Å³ per cell
total moment: 0.0 Bohr magnetons per cell



A geometry-optimized CaAg2O structure. Source: Alexandria, functional PBE.

a = 3.6277 Å, b = 3.6277 Å, c = 24.1388 Å
α = 90.00°, β = 90.00°, γ = 90.00°
Last column: nearest neighbours and their distance in Å.
Atoms (fractional coordinates):
Ca 0.0000 0.0000 0.0000  4 O 2.57
Ca 0.0000 0.5000 0.2500  4 O 2.57
Ca 0.5000 0.0000 0.7500  4 O 2.57
Ca 0.5000 0.5000 0.5000  4 O 2.57
Ag 0.2483 0.2500 0.6250  4 Ag 2.56-2.57
Ag 0.2500 0.7483 0.8750  4 Ag 2.56-2.57
Ag 0.2500 0.7517 0.3750  4 Ag 2.56-2.57
Ag 0.2517 0.2500 0.1250  4 Ag 2.56-2.57
Ag 0.7483 0.7500 0.1250  4 Ag 2.56-2.57
Ag 0.7500 0.2483 0.3750  4 Ag 2.56-2.57
Ag 0.7500 0.2517 0.8750  4 Ag 2.56-2.57
Ag 0.7517 0.7500 0.6250  4 Ag 2.56-2.57
O 0.0000 0.0000 0.5000  4 Ca 2.57
O 0.0000 0.5000 0.7500  4 Ca 2.57
O 0.5000 0.0000 0.2500  4 Ca 2.57
O 0.5000 0.5000 0.0000  4 Ca 2.57

Summary:
energy relative to the elements, uncorrected: -297 kJ/mol of formula units
volume: 317.7 Å³ per cell
total moment: 0.0 Bohr magnetons per cell



A geometry-optimized Ca4Ag2O structure. Source: Alexandria, functional PBE.

a = 4.6727 Å, b = 4.6727 Å, c = 16.1537 Å
α = 90.00°, β = 90.00°, γ = 90.00°
Last column: nearest neighbours and their distance in Å.
Atoms (fractional coordinates):
Ca 0.0000 0.0000 0.1720  1 O 2.78, 1 Ag 3.07
Ca 0.0000 0.0000 0.8280  1 O 2.78, 1 Ag 3.07
Ca 0.0000 0.5000 0.0000  2 O 2.34
Ca 0.0000 0.5000 0.5000  2 O 2.34
Ca 0.5000 0.0000 0.0000  2 O 2.34
Ca 0.5000 0.0000 0.5000  2 O 2.34
Ca 0.5000 0.5000 0.3280  1 O 2.78, 1 Ag 3.07
Ca 0.5000 0.5000 0.6720  1 O 2.78, 1 Ag 3.07
Ag 0.0000 0.0000 0.3624  9 Ca 3.07-3.35
Ag 0.0000 0.0000 0.6376  9 Ca 3.07-3.35
Ag 0.5000 0.5000 0.1376  9 Ca 3.07-3.35
Ag 0.5000 0.5000 0.8624  9 Ca 3.07-3.35
O 0.0000 0.0000 0.0000  4 Ca 2.34
O 0.5000 0.5000 0.5000  4 Ca 2.34

Summary:
energy relative to the elements, uncorrected: -653 kJ/mol of formula units
volume: 352.7 Å³ per cell
total moment: 0.0 Bohr magnetons per cell



Q: Which formula does entry 3 have?
A: Ca4Ag2O